Material: SrTmAgSn
Method: DFT, GGA-PBE
State: optimized geometry

Computed properties:
space-group type = No. 216
electronic total energy = -14.78 eV for the cell shown

Cell and atoms, written as POSCAR:
```
SrTmAgSn
1.0
5.390 0.000 0.000
2.695 4.668 0.000
2.695 1.556 4.401
Tm Ag Sn Sr
1 1 1 1
Cartesian
0.000 0.000 0.000 Tm
8.085 4.668 3.301 Ag
2.695 1.556 1.100 Sn
5.390 3.112 2.201 Sr
```